# NpFeGeO6 (PBE+U, optimized geometry)
# Raw total energy ... -7.65 eV per atom
# SG ... P-31c, No. 163
data_NpFeGeO6
_chemical_formula_sum 'Np2 Fe2 Ge2 O12'
_space_group_name_H-M_alt 'P 1'
_space_group_IT_number 1
_space_group_name_Hall 'P 1'
_cell_length_a 5.0508
_cell_length_b 5.0508
_cell_length_c 8.9316
_cell_angle_alpha 90.00
_cell_angle_beta 90.00
_cell_angle_gamma 120.00
loop_
_atom_site_label
_atom_site_type_symbol
_atom_site_fract_x
_atom_site_fract_y
_atom_site_fract_z
_atom_site_occupancy
Np1 Np 0.3333 0.6667 0.2500 1
Np2 Np 0.6667 0.3333 0.7500 1
Fe1 Fe 0.3333 0.6667 0.7500 1
Fe2 Fe 0.6667 0.3333 0.2500 1
Ge1 Ge 0.0000 0.0000 0.0000 1
Ge2 Ge 0.0000 0.0000 0.5000 1
O1 O 0.0060 0.3211 0.6226 1
O2 O 0.0060 0.6849 0.8774 1
O3 O 0.3151 0.3211 0.8774 1
O4 O 0.3151 0.9940 0.6226 1
O5 O 0.3211 0.0060 0.1226 1
O6 O 0.3211 0.3151 0.3774 1
O7 O 0.6789 0.6849 0.6226 1
O8 O 0.6789 0.9940 0.8774 1
O9 O 0.6849 0.0060 0.3774 1
O10 O 0.6849 0.6789 0.1226 1
O11 O 0.9940 0.3151 0.1226 1
O12 O 0.9940 0.6789 0.3774 1